(1)
Li2GaAu (GGA-PBE, optimized geometry); ΔE_f = -40.8 kJ/mol of atoms
1.0
-2.345 -1.922 -0.839
1.774 -1.147 -2.331
2.199 -4.346 3.811
Au Li Ga
1 2 1
direct
0.500 0.500 0.500 Au
0.000 0.000 0.739 Li
0.000 0.000 0.261 Li
0.500 0.500 0.000 Ga

=====

(2)
Li2Ga3Au5 (GGA-PBE, optimized geometry); ΔE_f = -31.9 kJ/mol of atoms
1.0
5.654 0.180 -0.409
-0.900 7.720 -1.989
0.080 -0.243 8.018
Li Au Ga
4 10 6
direct
0.386 0.134 0.618 Li
0.886 0.618 0.134 Li
0.114 0.382 0.866 Li
0.614 0.866 0.382 Li
0.524 0.186 0.303 Au
0.750 0.549 0.451 Au
0.889 0.044 0.728 Au
0.023 0.303 0.186 Au
0.111 0.956 0.272 Au
0.250 0.451 0.549 Au
0.611 0.272 0.956 Au
0.389 0.728 0.044 Au
0.977 0.697 0.814 Au
0.476 0.814 0.697 Au
0.750 0.958 0.042 Ga
0.093 0.791 0.502 Ga
0.250 0.042 0.958 Ga
0.907 0.209 0.498 Ga
0.407 0.498 0.209 Ga
0.593 0.502 0.791 Ga

=====

(3)
Li7GaAu4 (GGA-PBE, optimized geometry); ΔE_f = -32.0 kJ/mol of atoms
1.0
4.714 0.000 0.000
2.357 6.894 1.053
2.357 1.015 6.396
Li Au Ga
7 4 1
direct
0.242 0.724 0.791 Li
0.500 0.000 0.000 Li
0.212 0.123 0.454 Li
0.928 0.409 0.735 Li
0.788 0.877 0.546 Li
0.758 0.276 0.209 Li
0.072 0.591 0.265 Li
0.684 0.646 0.985 Au
0.436 0.730 0.398 Au
0.316 0.354 0.015 Au
0.564 0.270 0.602 Au
0.000 0.000 0.000 Ga

=====

(4)
Li4GaAu5 (GGA-PBE, optimized geometry); ΔE_f = -45.3 kJ/mol of atoms
1.0
-0.410 2.208 -2.368
0.351 -2.343 -2.245
-14.640 -2.441 0.257
Au Ga Li
5 1 4
direct
0.500 0.500 0.109 Au
0.500 0.500 0.500 Au
0.500 0.500 0.694 Au
0.500 0.500 0.306 Au
0.500 0.500 0.891 Au
0.000 0.000 0.000 Ga
0.000 0.000 0.206 Li
0.000 0.000 0.402 Li
0.000 0.000 0.598 Li
0.000 0.000 0.794 Li

=====

(5)
Li3GaAu (GGA-PBE, optimized geometry); ΔE_f = 20.1 kJ/mol of atoms
1.0
-0.081 -3.032 -3.553
4.169 1.557 -1.424
2.108 -3.195 2.678
Li Au Ga
3 1 1
direct
0.000 0.000 0.500 Li
0.500 0.000 0.000 Li
0.000 0.500 0.000 Li
0.500 0.500 0.500 Au
0.000 0.000 0.000 Ga

=====

(6)
Li3Ga4Au2 (GGA-PBE, optimized geometry); ΔE_f = -41.1 kJ/mol of atoms
1.0
-1.604 -4.119 -0.365
5.207 0.441 -0.909
-2.832 0.402 7.905
Au Ga Li
2 4 3
direct
0.387 0.774 0.723 Au
0.613 0.226 0.277 Au
0.069 0.138 0.404 Ga
0.931 0.862 0.596 Ga
0.707 0.414 0.042 Ga
0.293 0.586 0.958 Ga
0.000 0.000 0.000 Li
0.665 0.330 0.669 Li
0.335 0.670 0.331 Li

=====

(7)
Li4Ga3Au5 (GGA-PBE, optimized geometry); ΔE_f = -25.9 kJ/mol of atoms
1.0
4.804 0.000 0.000
2.402 7.938 -4.378
2.402 -0.929 7.465
Ga Li Au
3 4 5
direct
0.506 0.191 0.797 Ga
0.000 0.500 0.500 Ga
0.494 0.809 0.203 Ga
0.292 0.826 0.591 Li
0.708 0.174 0.409 Li
0.798 0.342 0.062 Li
0.202 0.658 0.938 Li
0.857 0.879 0.408 Au
0.500 0.500 0.500 Au
0.830 0.497 0.843 Au
0.143 0.121 0.592 Au
0.170 0.503 0.157 Au

=====

(8)
Li3Ga2Au4 (GGA-PBE, optimized geometry); ΔE_f = -44.3 kJ/mol of atoms
1.0
-0.226 4.141 -1.648
-1.590 3.316 2.497
7.772 1.543 2.831
Li Ga Au
3 2 4
direct
0.000 0.000 0.000 Li
0.333 0.334 0.443 Li
0.667 0.666 0.557 Li
0.667 0.667 0.216 Ga
0.333 0.333 0.784 Ga
0.000 0.999 0.665 Au
0.333 0.334 0.110 Au
0.000 0.001 0.335 Au
0.667 0.666 0.890 Au

=====

no.,DFT total energy (eV per atom)
1,-2.956
2,-3.260
3,-2.792
4,-3.176
5,-2.200
6,-3.138
7,-3.029
8,-3.226